TbDySc2Sb4: relaxed, PBE-GGA.

Lattice parameters (Å, degrees): 7.4035 4.2843 7.4180 90.00 109.49 90.00
With the nearest neighbours (Å) after each atom.
Sites, in units of the cell vectors:
Tb (0.0000, 0.0000, 0.0000)  6 Sb 3.09
Dy (0.0000, 0.5000, 0.5000)  6 Sb 3.09
Sc (0.5000, 0.0000, 0.5000)  6 Sb 2.96
Sc (0.5000, 0.5000, 0.0000)  6 Sb 2.97
Sb (0.2653, 0.0000, 0.7545)  3 Sc 2.96-2.97, 2 Dy 3.09, 1 Tb 3.09
Sb (0.2658, 0.5000, 0.2558)  3 Sc 2.96-2.97, 1 Dy 3.09, 2 Tb 3.09
Sb (0.7342, 0.5000, 0.7442)  3 Sc 2.96-2.97, 1 Dy 3.09, 2 Tb 3.09
Sb (0.7347, 0.0000, 0.2455)  3 Sc 2.96-2.97, 2 Dy 3.09, 1 Tb 3.09

Calculated values
Formation energy (no corrections) ... -8.26 eV per formula unit
V ... 222 Å³/f.u.
Total DFT energy (no corrections) ... -5.830 eV per atom
Space-group type ... P2/m (10)
N(E_F) ... 0.167 states/eV per atom